A plane-wave DFT calculation with PBE was carried out for a relaxed MgAlRu3 crystal.

extended XYZ file:
```
5
Lattice="4.466 0.000 0.000 0.000 4.466 0.000 0.000 0.000 4.466" Properties=species:S:1:pos:R:3 pbc="T T T"
Ru 0.000 2.233 0.000
Ru 0.000 0.000 2.233
Ru 2.233 0.000 0.000
Mg 2.233 2.233 2.233
Al 0.000 0.000 0.000
```

Values from the calculation:
**Energy above the most stable polymorph in this dataset**: 0 meV/atom
**Raw total energy**: -28.9 eV for the cell shown
**Space-group type**: Pm-3m
**Crystal system**: cubic
**Energy relative to the elements**: 0.8447 eV/atom
**Volume**: 17.8 A^3/atom

***

A plane-wave DFT calculation with PBE was carried out for a relaxed MnZn2Ir crystal.

extended XYZ file:
```
4
Lattice="-2.517 0.048 -1.167 -0.875 -2.163 -1.502 -4.455 -4.244 6.151" Properties=species:S:1:pos:R:3 pbc="T T T"
Mn -3.922 -3.179 1.743
Zn -3.629 -3.365 4.402
Zn -1.957 -1.584 0.858
Ir -2.262 -1.411 -1.780
```

Values from the calculation:
**Raw total energy**: -20.6 eV for the cell shown
**Space-group type**: R3m
**Crystal system**: trigonal
**Energy relative to the elements**: -0.0020 eV/atom
**Volume**: 14.3 A^3/atom

***

A plane-wave DFT calculation with PBE was carried out for a relaxed Tb3NdSmSc crystal.

extended XYZ file:
```
12
Lattice="-0.511 -1.392 4.786 6.817 -2.949 -2.752 4.779 8.316 2.929" Properties=species:S:1:pos:R:3 pbc="T T T"
Tb 4.344 2.232 3.735
Tb 6.741 1.744 1.227
Tb 9.128 5.898 2.690
Tb 1.957 -1.922 2.273
Tb 5.819 4.996 2.074
Tb 5.267 -1.020 2.888
Nd 10.114 2.611 1.839
Nd 0.971 1.366 3.123
Sm 2.390 4.158 1.464
Sm 0.000 0.000 0.000
Sc 7.682 3.124 4.351
Sc 3.404 0.852 0.611
```

Values from the calculation:
**Raw total energy**: -59.0 eV for the cell shown
**Space-group type**: Cmcm
**Crystal system**: orthorhombic
**Energy relative to the elements**: 0.0381 eV/atom
**Volume**: 31.5 A^3/atom